DFT (GGA-PBE) results for a geometry-optimized Li3Te4As structure.

a b c (Å): 9.0334 7.5035 7.3364
angles (deg): 90.00 90.00 90.00
Space group Pmn2_1 (No. 31)
Symmetry-distinct sites (fractional):
Li1 0.0000 0.1417 0.0000 [2 per cell]
Li2 0.2375 0.3019 0.4696 [4 per cell]
Te1 0.0000 0.1342 0.6128 [2 per cell]
Te2 0.0000 0.7867 0.1296 [2 per cell]
Te3 0.2387 0.6470 0.5981 [4 per cell]
As1 0.0000 0.8106 0.4874 [2 per cell]

***

DFT (GGA-PBE) results for a geometry-optimized Li2Te2As structure.

a b c (Å): 3.9406 3.9406 14.7131
angles (deg): 90.00 90.00 90.00
Space group I4/mmm (No. 139)
Symmetry-distinct sites (fractional):
Li1 0.0000 0.5000 0.2500 [4 per cell]
Te1 0.0000 0.0000 0.1169 [4 per cell]
As1 0.0000 0.0000 0.5000 [2 per cell]

Values from the calculation:
density of states at the Fermi level	7.40	states/eV per cell
energy above the most stable polymorph in this dataset	28.0	kJ/mol of atoms

***

DFT (GGA-PBE) results for a geometry-optimized LiTe2As structure.

a b c (Å): 5.9554 5.9314 13.4439
angles (deg): 90.00 115.06 90.00
Space group P2/c (No. 13)
Symmetry-distinct sites (fractional):
Li1 0.1237 0.2449 0.1223 [4 per cell]
Te1 0.1484 0.2589 0.6339 [4 per cell]
Te2 0.3728 0.2299 0.3805 [4 per cell]
As1 0.4173 0.2185 0.8781 [4 per cell]

Values from the calculation:
energy above the most stable polymorph in this dataset	0.1	kJ/mol of atoms

***

DFT (GGA-PBE) results for a geometry-optimized LiTe4As2 structure.

a b c (Å): 3.9738 13.1719 14.9475
angles (deg): 90.00 90.00 90.00
Space group Cmcm (No. 63)
Symmetry-distinct sites (fractional):
Li1 0.0000 0.1011 0.2500 [4 per cell]
Te1 0.0000 0.0000 0.0000 [4 per cell]
Te2 0.0000 0.2912 0.6121 [8 per cell]
Te3 0.0000 0.4454 0.2500 [4 per cell]
As1 0.0000 0.3555 0.0764 [8 per cell]

Values from the calculation:
density of states at the Fermi level	16.97	states/eV per cell

***

DFT (GGA-PBE) results for a geometry-optimized LiTe2As structure.

a b c (Å): 4.1246 4.1246 21.8410
angles (deg): 90.00 90.00 120.00
Space group R3m (No. 160, hexagonal axes)
Symmetry-distinct sites (fractional):
Li1 0.0000 0.0000 0.0000 [3 per cell]
Te1 0.0000 0.0000 0.5779 [3 per cell]
Te2 0.0000 0.0000 0.7573 [3 per cell]
As1 0.0000 0.0000 0.1675 [3 per cell]

Values from the calculation:
energy above the most stable polymorph in this dataset	4.1	kJ/mol of atoms

***

DFT (GGA-PBE) results for a geometry-optimized LiTe2As structure.

a b c (Å): 3.5236 3.5236 7.5187
angles (deg): 90.00 90.00 90.00
Space group P4/mmm (No. 123)
Symmetry-distinct sites (fractional):
Li1 0.0000 0.0000 0.0000 [1 per cell]
Te1 0.5000 0.5000 0.2490 [2 per cell]
As1 0.0000 0.0000 0.5000 [1 per cell]

Values from the calculation:
density of states at the Fermi level	2.57	states/eV per cell
energy above the most stable polymorph in this dataset	33.6	kJ/mol of atoms

***

DFT (GGA-PBE) results for a geometry-optimized Li4TeAs structure.

a b c (Å): 7.5203 7.5203 7.5203
angles (deg): 90.00 90.00 90.00
Space group F-43m (No. 216)
Symmetry-distinct sites (fractional):
Li1 0.1241 0.1241 0.3759 [16 per cell]
Te1 0.0000 0.0000 0.0000 [4 per cell]
As1 0.2500 0.2500 0.7500 [4 per cell]

Values from the calculation:
density of states at the Fermi level	11.57	states/eV per cell

***

DFT (GGA-PBE) results for a geometry-optimized LiTe2As structure.

a b c (Å): 4.1477 4.1477 20.8769
angles (deg): 90.00 90.00 120.00
Space group R-3m (No. 166, hexagonal axes)
Symmetry-distinct sites (fractional):
Li1 0.0000 0.0000 0.0000 [3 per cell]
Te1 0.0000 0.0000 0.2464 [6 per cell]
As1 0.0000 0.0000 0.5000 [3 per cell]

Values from the calculation:
energy above the most stable polymorph in this dataset	0.9	kJ/mol of atoms

***

DFT (GGA-PBE) results for a geometry-optimized LiTe2As structure.

a b c (Å): 6.3478 6.3478 13.3282
angles (deg): 90.00 90.00 90.00
Space group I-42d (No. 122)
Symmetry-distinct sites (fractional):
Li1 0.0000 0.0000 0.0000 [4 per cell]
Te1 0.2476 0.2500 0.1250 [8 per cell]
As1 0.0000 0.0000 0.5000 [4 per cell]

Values from the calculation:
density of states at the Fermi level	0.00	states/eV per cell
energy above the most stable polymorph in this dataset	10.0	kJ/mol of atoms

***

DFT (GGA-PBE) results for a geometry-optimized LiTe2As structure.

a b c (Å): 7.3021 7.3021 7.3021
angles (deg): 90.00 90.00 90.00
Space group F-43m (No. 216)
Symmetry-distinct sites (fractional):
Li1 0.0000 0.0000 0.0000 [4 per cell]
Te1 0.0000 0.0000 0.5000 [4 per cell]
Te2 0.2500 0.2500 0.2500 [4 per cell]
As1 0.2500 0.2500 0.7500 [4 per cell]

Values from the calculation:
density of states at the Fermi level	7.99	states/eV per cell
energy above the most stable polymorph in this dataset	49.3	kJ/mol of atoms

***

DFT (GGA-PBE) results for a geometry-optimized LiTe4As structure.

a b c (Å): 9.8220 16.4147 5.5046
angles (deg): 90.00 120.64 90.00
Space group C2/c (No. 15)
Symmetry-distinct sites (fractional):
Li1 0.0000 0.1806 0.2500 [4 per cell]
Te1 0.1854 0.3064 0.1751 [8 per cell]
Te2 0.2368 0.4336 0.5775 [8 per cell]
As1 0.0000 0.4112 0.7500 [4 per cell]

Values from the calculation:
density of states at the Fermi level	0.42	states/eV per cell
energy above the most stable polymorph in this dataset	0.0	kJ/mol of atoms

***

DFT (GGA-PBE) results for a geometry-optimized LiTe2As structure.

a b c (Å): 8.2771 8.2489 3.0878
angles (deg): 90.00 98.53 90.00
Space group C2/m (No. 12)
Symmetry-distinct sites (fractional):
Li1 0.0000 0.0000 0.0000 [2 per cell]
Te1 0.2500 0.2500 0.0000 [4 per cell]
As1 0.0000 0.5000 0.0000 [2 per cell]

Values from the calculation:
density of states at the Fermi level	1.84	states/eV per cell
energy above the most stable polymorph in this dataset	11.5	kJ/mol of atoms

***

Energy across the listed records, respectively: -3.3380 -3.0595 -3.5702 -3.5007 -3.5291 -3.2234 -2.7895 -3.5621 -3.4674 -3.0606 -3.3579 -3.4524 eV per atom.
Magnetization across the listed records, respectively: 0.0 0.0 0.0 0.0 0.0 0.0 0.0 0.0 0.0 0.0 0.0 0.0 μB/f.u..
Energy relative to the elements, uncorrected across the listed records, respectively: -468 -107 -359 -104 -317 -12 -215 -350 -256 151 -170 -241 meV per atom.